The following is a GGA+U calculation of a relaxed NdPuCoO6 crystal, from Alexandria via LeMat-Bulk.

D(E_F) = 14.6 states/eV per cell
DFT total energy = -8.3109 eV/atom

Unit cell a=5.1923 b=5.1923 c=10.4763 alpha=90.00 beta=90.00 gamma=120.00
Closest atoms and distances in Å follow each position.
Fractional coordinates of all 18 atoms:
Nd 0.0000 0.0000 0.0000  6 O 2.40
Nd 0.0000 0.0000 0.5000  6 O 2.40
Pu 0.3333 0.6667 0.2500  6 O 2.07
Pu 0.6667 0.3333 0.7500  6 O 2.07
Co 0.3333 0.6667 0.7500  6 O 1.94
Co 0.6667 0.3333 0.2500  6 O 1.94
O 0.0189 0.3692 0.6434  1 Co 1.94, 1 Pu 2.07
O 0.0189 0.6498 0.8566  1 Co 1.94, 1 Pu 2.07
O 0.3502 0.3692 0.8566  1 Co 1.94, 1 Pu 2.07
O 0.3502 0.9811 0.6434  1 Co 1.94, 1 Pu 2.07
O 0.3692 0.0189 0.1434  1 Co 1.94, 1 Pu 2.07
O 0.3692 0.3502 0.3566  1 Co 1.94, 1 Pu 2.07
O 0.6308 0.6498 0.6434  1 Co 1.94, 1 Pu 2.07
O 0.6308 0.9811 0.8566  1 Co 1.94, 1 Pu 2.07
O 0.6498 0.0189 0.3566  1 Co 1.94, 1 Pu 2.07
O 0.6498 0.6308 0.1434  1 Co 1.94, 1 Pu 2.07
O 0.9811 0.3502 0.1434  1 Co 1.94, 1 Pu 2.07
O 0.9811 0.6308 0.3566  1 Co 1.94, 1 Pu 2.07